{
  "formula": "Ac2Th3S8",
  "functional": "PBE-GGA",
  "state": "relaxed",
  "cell": [[4.935, -7.091, 0.000], [4.935, 7.091, 0.000], [0.000, 0.000, 4.895]],
  "species": ["Ac", "Ac", "Th", "Th", "Th", "S", "S", "S", "S", "S", "S", "S", "S"],
  "fractional_positions": [[0.233, 0.767, 0.000], [0.767, 0.233, 0.000], [0.231, 0.231, 0.500], [0.500, 0.500, 0.000], [0.769, 0.769, 0.500], [0.118, 0.882, 0.500], [0.143, 0.377, 0.000], [0.377, 0.143, 0.000], [0.388, 0.612, 0.500], [0.612, 0.388, 0.500], [0.623, 0.857, 0.000], [0.857, 0.623, 0.000], [0.882, 0.118, 0.500]],
  "de_polymorph_mev_per_atom": 0,
  "e_form_raw_ev_per_atom": -1.988,
  "total_magnetization_mub_per_atom": 0.077,
  "total_energy_ha_per_atom": -0.2526
}

{
  "formula": "Ac4ThS5",
  "functional": "PBE-GGA",
  "state": "relaxed",
  "cell": [[-2.122, 3.011, 10.626], [2.122, -3.011, 10.626], [2.122, 3.011, -10.626]],
  "species": ["Ac", "Ac", "Ac", "Ac", "Th", "S", "S", "S", "S", "S"],
  "fractional_positions": [[0.099, 0.099, 0.000], [0.305, 0.305, 0.000], [0.695, 0.695, 0.000], [0.901, 0.901, 0.000], [0.500, 0.500, 0.000], [0.000, 0.500, 0.500], [0.202, 0.702, 0.500], [0.407, 0.907, 0.500], [0.593, 0.093, 0.500], [0.798, 0.298, 0.500]],
  "e_form_raw_ev_per_atom": -1.943,
  "total_magnetization_mub_per_atom": 0.000,
  "total_energy_ha_per_atom": -0.2349
}

{
  "formula": "Ac2ThS6",
  "functional": "PBE-GGA",
  "state": "relaxed",
  "cell": [[7.600, 0.000, 0.000], [-3.800, 6.582, 0.000], [0.000, 0.000, 4.634]],
  "species": ["Ac", "Ac", "Th", "S", "S", "S", "S", "S", "S"],
  "fractional_positions": [[0.333, 0.667, 0.256], [0.667, 0.333, 0.744], [0.000, 0.000, 0.500], [0.084, 0.368, 0.753], [0.284, 0.916, 0.753], [0.368, 0.284, 0.247], [0.632, 0.716, 0.753], [0.716, 0.084, 0.247], [0.916, 0.632, 0.247]],
  "de_polymorph_mev_per_atom": 105,
  "e_form_raw_ev_per_atom": -1.657,
  "total_magnetization_mub_per_atom": 0.000,
  "total_energy_ha_per_atom": -0.2258
}

{
  "formula": "Ac2Th2S7",
  "functional": "PBE-GGA",
  "state": "relaxed",
  "cell": [[0.000, 6.860, 6.860], [6.860, 0.000, 6.860], [6.860, 6.860, 0.000]],
  "species": ["Ac", "Ac", "Ac", "Ac", "Th", "Th", "Th", "Th", "S", "S", "S", "S", "S", "S", "S", "S", "S", "S", "S", "S", "S", "S"],
  "fractional_positions": [[0.000, 0.000, 0.000], [0.000, 0.000, 0.500], [0.000, 0.500, 0.000], [0.500, 0.000, 0.000], [0.000, 0.500, 0.500], [0.500, 0.000, 0.500], [0.500, 0.500, 0.000], [0.500, 0.500, 0.500], [0.125, 0.125, 0.125], [0.153, 0.153, 0.597], [0.153, 0.597, 0.153], [0.153, 0.597, 0.597], [0.403, 0.403, 0.847], [0.403, 0.847, 0.403], [0.403, 0.847, 0.847], [0.597, 0.153, 0.153], [0.597, 0.153, 0.597], [0.597, 0.597, 0.153], [0.847, 0.403, 0.403], [0.847, 0.403, 0.847], [0.847, 0.847, 0.403], [0.875, 0.875, 0.875]],
  "de_polymorph_mev_per_atom": 0,
  "e_form_raw_ev_per_atom": -2.030,
  "total_magnetization_mub_per_atom": 0.000,
  "total_energy_ha_per_atom": -0.2482
}

{
  "formula": "Ac2Th3S8",
  "functional": "PBE-GGA",
  "state": "relaxed",
  "cell": [[7.389, -4.212, 0.000], [7.389, 4.212, 0.000], [-2.249, 0.000, 6.445]],
  "species": ["Ac", "Ac", "Th", "Th", "Th", "S", "S", "S", "S", "S", "S", "S", "S"],
  "fractional_positions": [[0.232, 0.232, 0.158], [0.768, 0.768, 0.842], [0.247, 0.753, 0.500], [0.500, 0.500, 0.000], [0.753, 0.247, 0.500], [0.109, 0.109, 0.428], [0.153, 0.602, 0.084], [0.387, 0.387, 0.572], [0.398, 0.847, 0.916], [0.602, 0.153, 0.084], [0.613, 0.613, 0.428], [0.847, 0.398, 0.916], [0.891, 0.891, 0.572]],
  "de_polymorph_mev_per_atom": 52,
  "e_form_raw_ev_per_atom": -1.936,
  "total_magnetization_mub_per_atom": 0.000,
  "total_energy_ha_per_atom": -0.2506
}

{
  "formula": "Ac2Th2S7",
  "functional": "PBE-GGA",
  "state": "relaxed",
  "cell": [[4.804, 0.000, 0.000], [0.000, 4.804, 0.000], [0.000, 0.000, 13.824]],
  "species": ["Ac", "Ac", "Th", "Th", "S", "S", "S", "S", "S", "S", "S"],
  "fractional_positions": [[0.000, 0.500, 0.145], [0.500, 0.000, 0.855], [0.000, 0.500, 0.619], [0.500, 0.000, 0.381], [0.000, 0.000, 0.256], [0.000, 0.000, 0.500], [0.000, 0.000, 0.744], [0.500, 0.500, 0.000], [0.500, 0.500, 0.267], [0.500, 0.500, 0.500], [0.500, 0.500, 0.733]],
  "de_polymorph_mev_per_atom": 33,
  "e_form_raw_ev_per_atom": -1.997,
  "total_magnetization_mub_per_atom": 0.000,
  "total_energy_ha_per_atom": -0.2470
}